Record 1
CaTb2TmTe4: optimized geometry, PBE.

For the total magnetic moment, the calculation gives 0.000 Bohr magnetons per cell. The value obtained for the formation energy from raw total energies is -1.348 eV per atom. The value obtained for the energy is -39.09 eV/cell.

It has space group P2/m (No. 10), with a = 7.568 Å, b = 4.354 Å, c = 7.625 Å, α = 90.00°, β = 109.05° and γ = 90.00°. The inequivalent atoms are Ca at (0.000, 0.000, 0.000), Tb at (0.000, 0.500, 0.500), Tb at (0.500, 0.000, 0.500), Tm at (0.500, 0.500, 0.000), Te at (0.253, 0.500, 0.249) and Te at (0.254, 0.000, 0.754).

---

Record 2
CaTbTm4Te8: optimized geometry, PBE.

For the total magnetic moment, the calculation gives 0.000 Bohr magnetons per cell. The value obtained for the formation energy from raw total energies is -1.287 eV per atom. The value obtained for the energy is -203.02 eV/cell.

It has space group R3m (No. 160, hexagonal axes), with a = 9.0198 Å, b = 9.0198 Å, c = 22.1743 Å, α = 90.00°, β = 90.00° and γ = 120.00°. The inequivalent atoms are Ca at (0.0000, 0.0000, 0.0000), Tb at (0.0000, 0.0000, 0.6282), Tm at (0.0000, 0.0000, 0.2513), Tm at (0.1693, 0.3385, 0.4586), Te at (0.0000, 0.0000, 0.3842), Te at (0.0000, 0.0000, 0.8651), Te at (0.0246, 0.5123, 0.3809) and Te at (0.1761, 0.3521, 0.2055).